[1]
This record from the Alexandria database describes an optimized crystal structure of TiVPb2I. The functional is PBE.

Geometry as CIF:
```
data_TiVPb2I
_chemical_formula_sum 'Ti1 V1 Pb2 I1'
_cell_length_a 5.6899
_cell_length_b 5.6899
_cell_length_c 4.3703
_cell_angle_alpha 90.00
_cell_angle_beta 90.00
_cell_angle_gamma 90.00
_symmetry_space_group_name_H-M 'P 4/m m m'
_symmetry_Int_Tables_number 123
_symmetry_space_group_name_Hall '-P 4 2'
loop_
_atom_site_label
_atom_site_fract_x
_atom_site_fract_y
_atom_site_fract_z
_atom_site_occupancy
Ti1 0.0000 0.0000 0.0000 1
V1 0.0000 0.0000 0.5000 1
Pb1 0.0000 0.5000 0.0000 1
I1 0.5000 0.5000 0.5000 1
```

Calculated values
- DFT total energy: -4.526 eV/atom
- Calculated density: 7.512 g/cm3
- Formation energy (no corrections): 0.67 eV per atom

***

[2]
This record from the Alexandria database describes an optimized crystal structure of Ti2PbWI. The functional is PBE.

Geometry as CIF:
```
data_Ti2PbWI
_chemical_formula_sum 'Ti2 Pb1 W1 I1'
_cell_length_a 4.9704
_cell_length_b 4.9704
_cell_length_c 4.9698
_cell_angle_alpha 90.00
_cell_angle_beta 90.00
_cell_angle_gamma 90.00
_symmetry_space_group_name_H-M 'P 4/m m m'
_symmetry_Int_Tables_number 123
_symmetry_space_group_name_Hall '-P 4 2'
loop_
_atom_site_label
_atom_site_fract_x
_atom_site_fract_y
_atom_site_fract_z
_atom_site_occupancy
Ti1 0.0000 0.5000 0.0000 1
Pb1 0.0000 0.0000 0.5000 1
W1 0.5000 0.5000 0.5000 1
I1 0.5000 0.5000 0.0000 1
```

Calculated values
- DFT total energy: -5.345 eV/atom
- Calculated density: 8.300 g/cm3
- Formation energy (no corrections): 1.45 eV per atom

***

[3]
This record from the Alexandria database describes an optimized crystal structure of TlPb2I5. The functional is PBE.

Geometry as CIF:
```
data_TlPb2I5
_chemical_formula_sum 'Tl4 Pb8 I20'
_cell_length_a 6.5107
_cell_length_b 15.5822
_cell_length_c 16.3706
_cell_angle_alpha 90.00
_cell_angle_beta 90.00
_cell_angle_gamma 90.00
_symmetry_space_group_name_H-M 'C m c m'
_symmetry_Int_Tables_number 63
_symmetry_space_group_name_Hall '-C 2c 2'
loop_
_atom_site_label
_atom_site_fract_x
_atom_site_fract_y
_atom_site_fract_z
_atom_site_occupancy
Tl1 0.0000 0.2271 0.2500 1
Pb1 0.0000 0.1401 0.5535 1
I1 0.0000 0.0504 0.1194 1
I2 0.0000 0.2041 0.7500 1
I3 0.0000 0.3291 0.0495 1
```

Calculated values
- DFT total energy: -2.813 eV/atom
- Calculated density: 5.012 g/cm3
- Formation energy (no corrections): -0.62 eV per atom